VASP calculation (PBE-GGA) on a relaxed ScMnBeMo2 crystal.

Summary:
E_tot, eV/cell: -30.64
Density, g cm⁻³: 5.32
Total moment, μB/cell: 1.8
DOS at the Fermi energy, states/eV/cell: 4.5

Unit cell a=4.6340 b=4.6340 c=4.3718 alpha=90.00 beta=90.00 gamma=90.00
With the nearest neighbours (Å) after each atom.
Atoms (fractional coordinates):
Sc1 0.0000 0.0000 0.0000  2 Mn 2.19, 4 Mo 2.32
Mn1 0.0000 0.0000 0.5000  2 Sc 2.19
Be1 0.5000 0.5000 0.5000  8 Mo 3.19, 4 Mn 3.28
Mo1 0.0000 0.5000 0.0000  2 Sc 2.32
Mo2 0.5000 0.0000 0.0000  2 Sc 2.32

=====

VASP calculation (PBE-GGA) on a relaxed TaCd2Sb crystal.

Summary:
Density, g cm⁻³: 10.18
Formation energy from raw total energies, meV/atom: 351
Total moment, μB/cell: 0.0
DOS at the Fermi energy, states/eV/cell: 1.9

Unit cell a=3.0143 b=5.3801 c=5.4054 alpha=90.00 beta=100.95 gamma=90.00
With the nearest neighbours (Å) after each atom.
Atoms (fractional coordinates):
Ta1 0.0000 0.0000 0.0000  2 Sb 2.83, 2 Ta 3.01
Cd1 0.2819 0.5000 0.7547  4 Cd 2.73-3.01
Cd2 0.7181 0.5000 0.2453  4 Cd 2.73-3.01
Sb1 0.5000 0.0000 0.5000  2 Ta 2.83, 2 Sb 3.01, 4 Cd 3.15

=====

VASP calculation (PBE-GGA) on a relaxed Rb5AsSe4Cl2 crystal.

Summary:
Density, g cm⁻³: 3.05
Formation energy from raw total energies, meV/atom: -1151
Total moment, μB/cell: 0.0

Unit cell a=10.1291 b=7.1318 c=7.1318 alpha=110.05 beta=90.00 gamma=90.00
With the nearest neighbours (Å) after each atom.
Atoms (fractional coordinates):
Rb1 0.0000 0.0000 0.0000  2 Cl 3.28, 2 Se 3.41
Rb2 0.2527 0.3170 0.7150  2 Cl 3.31-3.37, 2 Se 3.39-3.56
Rb3 0.2527 0.7150 0.3170  2 Cl 3.31-3.37, 2 Se 3.39-3.56
Rb4 0.7473 0.3170 0.7150  2 Cl 3.31-3.37, 2 Se 3.39-3.56
Rb5 0.7473 0.7150 0.3170  2 Cl 3.31-3.37, 2 Se 3.39-3.56
As1 0.5000 0.9938 0.9938  4 Se 2.35-2.36
Se1 0.3100 0.1612 0.1612  1 As 2.36
Se2 0.5000 0.6602 0.9816  1 As 2.35
Se3 0.5000 0.9816 0.6602  1 As 2.35
Se4 0.6900 0.1612 0.1612  1 As 2.36
Cl1 0.0000 0.5389 0.9976  5 Rb 3.28-3.37
Cl2 0.0000 0.9976 0.5389  5 Rb 3.28-3.37

=====

VASP calculation (PBE-GGA) on a relaxed ZrScCdFe crystal.

Summary:
E_tot, eV/cell: -25.02
Density, g cm⁻³: 6.65
Total moment, μB/cell: 0.4
DOS at the Fermi energy, states/eV/cell: 2.7

Unit cell a=3.2165 b=3.2165 c=7.3463 alpha=90.00 beta=90.00 gamma=90.00
With the nearest neighbours (Å) after each atom.
Atoms (fractional coordinates):
Zr1 0.0000 0.0000 0.0000  4 Fe 2.70
Sc1 0.0000 0.0000 0.5855  4 Fe 2.78, 1 Zr 3.05, 4 Cd 3.09
Cd1 0.5000 0.5000 0.2998  4 Sc 3.09, 4 Zr 3.17, 4 Cd 3.22
Fe1 0.5000 0.5000 0.8025  4 Zr 2.70, 4 Sc 2.78

=====

VASP calculation (PBE-GGA) on a relaxed La3Nd2ErS6 crystal.

Summary:
Density, g cm⁻³: 6.15
Formation energy from raw total energies, meV/atom: -2090
Total moment, μB/cell: 0.0
DOS at the Fermi energy, states/eV/cell: 5.7

Unit cell a=7.0627 b=7.0627 c=7.0726 alpha=99.60 beta=99.60 gamma=120.09
With the nearest neighbours (Å) after each atom.
Atoms (fractional coordinates):
La1 0.0000 0.0000 0.0000  6 S 2.90-2.99
La2 0.3294 0.6706 0.0000  6 S 2.91-2.97
La3 0.6706 0.3294 0.0000  6 S 2.91-2.97
Nd1 0.1668 0.8332 0.5000  6 S 2.87-2.88
Nd2 0.8332 0.1668 0.5000  6 S 2.87-2.88
Er1 0.5000 0.5000 0.5000  6 S 2.77-2.78
S1 0.0992 0.4213 0.2632  1 Er 2.77, 2 Nd 2.87, 3 La 2.90-2.97
S2 0.2583 0.2583 0.7407  1 Er 2.78, 2 Nd 2.88, 3 La 2.92-2.99
S3 0.4213 0.0992 0.2632  1 Er 2.77, 2 Nd 2.87, 3 La 2.90-2.97
S4 0.5787 0.9008 0.7368  1 Er 2.77, 2 Nd 2.87, 3 La 2.90-2.97
S5 0.7417 0.7417 0.2593  1 Er 2.78, 2 Nd 2.88, 3 La 2.92-2.99
S6 0.9008 0.5787 0.7368  1 Er 2.77, 2 Nd 2.87, 3 La 2.90-2.97

=====

VASP calculation (PBE-GGA) on a relaxed CaTaNb3 crystal.

Summary:
Density, g cm⁻³: 6.58
Total moment, μB/cell: 0.0
DOS at the Fermi energy, states/eV/cell: 7.4
Polymorph energy (0 for the lowest one), meV/atom: 0

Unit cell a=5.0139 b=5.0139 c=5.0139 alpha=90.00 beta=90.00 gamma=90.00
With the nearest neighbours (Å) after each atom.
Atoms (fractional coordinates):
Ca1 0.0000 0.0000 0.0000  12 Nb 3.55
Ta1 0.5000 0.5000 0.5000  6 Nb 2.51
Nb1 0.0000 0.5000 0.5000  2 Ta 2.51
Nb2 0.5000 0.0000 0.5000  2 Ta 2.51
Nb3 0.5000 0.5000 0.0000  2 Ta 2.51

=====

VASP calculation (PBE-GGA) on a relaxed CsHgO2 crystal.

Summary:
Density, g cm⁻³: 7.20
Formation energy from raw total energies, meV/atom: -187
Total moment, μB/cell: 1.0
DOS at the Fermi energy, states/eV/cell: 3.4

Unit cell a=7.6317 b=7.6317 c=7.6317 alpha=27.62 beta=27.62 gamma=27.62
With the nearest neighbours (Å) after each atom.
Atoms (fractional coordinates):
Cs1 0.0000 0.0000 0.0000  2 O 2.60
Hg1 0.5000 0.5000 0.5000  6 O 2.36
O1 0.1183 0.1183 0.1183  3 Hg 2.36, 1 Cs 2.60
O2 0.8817 0.8817 0.8817  3 Hg 2.36, 1 Cs 2.60

=====

VASP calculation (PBE-GGA) on a relaxed ErGa2Br8 crystal.

Summary:
Density, g cm⁻³: 3.63
Formation energy from raw total energies, meV/atom: -1064
Total moment, μB/cell: 0.0
DOS at the Fermi energy, states/eV/cell: 4.6

Unit cell a=8.2327 b=8.2327 c=6.7931 alpha=97.30 beta=97.30 gamma=72.06
With the nearest neighbours (Å) after each atom.
Atoms (fractional coordinates):
Er1 0.0000 0.0000 0.0000  6 Br 2.79-2.82
Ga1 0.1934 0.1934 0.6522  4 Br 2.34-2.53
Ga2 0.8066 0.8066 0.3478  4 Br 2.34-2.53
Br1 0.0991 0.7165 0.2226  1 Ga 2.52, 1 Er 2.79
Br2 0.1814 0.1814 0.2766  1 Ga 2.53, 1 Er 2.82
Br3 0.2835 0.9009 0.7774  1 Ga 2.52, 1 Er 2.79
Br4 0.3660 0.3660 0.7909  1 Ga 2.34
Br5 0.6340 0.6340 0.2091  1 Ga 2.34
Br6 0.7165 0.0991 0.2226  1 Ga 2.52, 1 Er 2.79
Br7 0.8186 0.8186 0.7234  1 Ga 2.53, 1 Er 2.82
Br8 0.9009 0.2835 0.7774  1 Ga 2.52, 1 Er 2.79

=====

Question: Which value of density does entry 5 give?
Answer: 6.15 g cm⁻³